[1]
The following is a DFT calculation (GGA-PBE) of a relaxed PrGaSi crystal.

## Properties
space-group type: P3m1, No. 156
formation energy from raw total energies: -0.69 eV/atom
total energy: -15.3 eV for the cell shown
M_tot: 0.000 μB per cell

a b c (Å): 4.196 4.196 4.271
angles (deg): 90.00 90.00 120.00
Element x y z (fractional)
Pr  0.000  0.000  0.000
Ga  0.667  0.333  0.525
Si  0.333  0.667  0.479

[2]
The following is a DFT calculation (GGA-PBE) of a relaxed MgAl2TlAg crystal.

## Properties
space-group type: P4/mmm, No. 123
energy of formation: 10.06 kcal/mol of atoms
total energy: -12.1 eV for the cell shown
M_tot: 0.000 μB per cell

a b c (Å): 4.871 4.871 5.746
angles (deg): 90.00 90.00 90.00
Element x y z (fractional)
Mg  0.000  0.000  0.000
Al  0.000  0.500  0.500
Al  0.500  0.000  0.500
Tl  0.500  0.500  0.000
Ag  0.500  0.500  0.500

[3]
The following is a DFT calculation (GGA-PBE) of a relaxed SrLiYIr crystal.

## Properties
space-group type: F-43m, No. 216
energy of formation: -5.53 kcal/mol of atoms
total energy: -19.9 eV for the cell shown
M_tot: 0.000 μB per cell

a b c (Å): 5.079 5.079 5.079
angles (deg): 60.00 60.00 60.00
Element x y z (fractional)
Sr  0.000  0.000  0.000
Li  0.750  0.750  0.750
Y  0.500  0.500  0.500
Ir  0.250  0.250  0.250